No. 1
Here is RbPu2PaO8 after structural relaxation from the Alexandria database. Energies are from PBE-GGA.

a b c (Å): 6.414 6.414 7.844
angles (deg): 90.00 90.00 120.00
Sites, in units of the cell vectors:
1 O 0.157 0.843 0.832
2 O 0.313 0.157 0.168
3 O 0.667 0.333 0.497
4 O 0.157 0.313 0.832
5 O 0.843 0.157 0.168
6 O 0.333 0.667 0.503
7 O 0.687 0.843 0.832
8 O 0.843 0.687 0.168
9 Pu 0.667 0.333 0.257
10 Pu 0.333 0.667 0.743
11 Pa 0.000 0.000 0.000
12 Rb 0.000 0.000 0.500

calculated total energy	-9.12	eV per atom
crystal system	trigonal

No. 2
Here is BeC after structural relaxation from the Alexandria database. Energies are from PBE-GGA.

a b c (Å): 3.491 3.491 3.491
angles (deg): 60.00 60.00 60.00
Sites, in units of the cell vectors:
1 Be 0.000 0.000 0.000
2 Be 0.250 0.250 0.250
3 C 0.750 0.750 0.750
4 C 0.500 0.500 0.500

energy above the most stable polymorph in this dataset	1820.9	meV/atom
crystal system	cubic
energy relative to the elements	2.140	eV per atom

No. 3
Here is CuAg2Cl5 after structural relaxation from the Alexandria database. Energies are from PBE-GGA.

a b c (Å): 7.139 7.139 7.229
angles (deg): 119.66 119.59 90.00
Sites, in units of the cell vectors:
1 Ag 0.585 0.085 0.169
2 Ag 0.085 0.585 0.169
3 Cu 0.018 0.018 0.035
4 Cl 0.800 0.800 0.600
5 Cl 0.302 0.302 0.145
6 Cl 0.843 0.843 0.145
7 Cl 0.843 0.302 0.145
8 Cl 0.302 0.843 0.145

energy above the most stable polymorph in this dataset	62.8	meV/atom
crystal system	monoclinic

No. 4
Here is Er12Sc5Cd2 after structural relaxation from the Alexandria database. Energies are from PBE-GGA.

a b c (Å): 8.999 8.814 7.941
angles (deg): 90.18 90.00 120.70
Sites, in units of the cell vectors:
1 Sc 0.239 0.478 0.585
2 Sc 0.761 0.522 0.415
3 Sc 0.305 0.610 0.992
4 Sc 0.695 0.390 0.008
5 Sc 0.000 0.000 0.500
6 Er 0.971 0.312 0.242
7 Er 0.555 0.110 0.319
8 Er 0.092 0.184 0.890
9 Er 0.342 0.312 0.242
10 Er 0.445 0.890 0.681
11 Er 0.908 0.816 0.110
12 Er 0.176 0.749 0.341
13 Er 0.573 0.749 0.341
14 Er 0.824 0.251 0.659
15 Er 0.658 0.688 0.758
16 Er 0.427 0.251 0.659
17 Er 0.029 0.688 0.758
18 Cd 0.316 0.000 0.000
19 Cd 0.684 0.000 0.000

crystal system	monoclinic
energy relative to the elements	0.072	eV per atom

No. 5
Here is LiRuNO2 after structural relaxation from the Alexandria database. Energies are from PBE-GGA.

a b c (Å): 3.910 3.910 3.747
angles (deg): 90.00 90.00 90.00
Sites, in units of the cell vectors:
1 O 0.000 0.500 0.000
2 O 0.500 0.000 0.000
3 N 0.000 0.000 0.500
4 Li 0.500 0.500 0.500
5 Ru 0.000 0.000 0.000

calculated total energy	-6.29	eV per atom
crystal system	tetragonal

No. 6
Here is AgPt3Se after structural relaxation from the Alexandria database. Energies are from PBE-GGA.

a b c (Å): 4.886 4.886 4.886
angles (deg): 90.00 90.00 90.00
Sites, in units of the cell vectors:
1 Se 0.500 0.500 0.500
2 Pt 0.000 0.500 0.000
3 Pt 0.500 0.000 0.000
4 Pt 0.000 0.000 0.500
5 Ag 0.000 0.000 0.000

energy above the most stable polymorph in this dataset	1042.4	meV/atom
crystal system	cubic

No. 7
Here is LaCuI2O after structural relaxation from the Alexandria database. Energies are from PBE-GGA.

a b c (Å): 6.483 6.483 4.284
angles (deg): 90.00 90.00 90.00
Sites, in units of the cell vectors:
1 Cu 0.500 0.500 0.500
2 La 0.000 0.000 0.000
3 I 0.000 0.500 0.000
4 I 0.500 0.000 0.000
5 O 0.000 0.000 0.500

energy above the most stable polymorph in this dataset	0.0	meV/atom
crystal system	tetragonal

No. 8
Here is Al3V2Ga3 after structural relaxation from the Alexandria database. Energies are from PBE-GGA.

a b c (Å): 3.683 5.295 14.312
angles (deg): 90.00 90.00 110.35
Sites, in units of the cell vectors:
1 Ga 0.618 0.235 0.461
2 Ga 0.382 0.765 0.539
3 Ga 0.382 0.765 0.961
4 Ga 0.588 0.175 0.750
5 Ga 0.618 0.235 0.039
6 Ga 0.412 0.825 0.250
7 V 0.748 0.495 0.617
8 V 0.252 0.505 0.383
9 V 0.252 0.505 0.117
10 V 0.748 0.495 0.883
11 Al 0.682 0.364 0.250
12 Al 0.041 0.082 0.618
13 Al 0.041 0.082 0.882
14 Al 0.318 0.636 0.750
15 Al 0.959 0.918 0.382
16 Al 0.959 0.918 0.118

crystal system	orthorhombic
energy relative to the elements	0.073	eV per atom

Question: Which formula does entry 4 have?
Answer: Er12Sc5Cd2